# InINF2 PBE-GGA optimized geometry
data_InINF2
_symmetry_space_group_name_H-M 'P 4/m m m'
_symmetry_Int_Tables_number 123
_symmetry_space_group_name_Hall '-P 4 2'
_cell_length_a 4.155
_cell_length_b 4.155
_cell_length_c 4.761
_cell_angle_alpha 90.00
_cell_angle_beta 90.00
_cell_angle_gamma 90.00
loop_
_atom_site_label
_atom_site_type_symbol
_atom_site_fract_x
_atom_site_fract_y
_atom_site_fract_z
In1 In 0.000 0.000 0.000
I1 I 0.500 0.500 0.500
N1 N 0.000 0.000 0.500
F1 F 0.000 0.500 0.000
# Energy ... -3.78 eV/atom
# Relative energy among the computed polymorphs ... 0 meV/atom
# Total magnetization ... 0.00 μB per formula unit
# Uncorrected formation energy ... -507 meV/atom



# BMoH3 PBE-GGA optimized geometry
data_BMoH3
_symmetry_space_group_name_H-M 'P m -3 m'
_symmetry_Int_Tables_number 221
_symmetry_space_group_name_Hall '-P 4 2 3'
_cell_length_a 3.066
_cell_length_b 3.066
_cell_length_c 3.066
_cell_angle_alpha 90.00
_cell_angle_beta 90.00
_cell_angle_gamma 90.00
loop_
_atom_site_label
_atom_site_type_symbol
_atom_site_fract_x
_atom_site_fract_y
_atom_site_fract_z
B1 B 0.000 0.000 0.000
Mo1 Mo 0.500 0.500 0.500
H1 H 0.000 0.000 0.500
# Energy ... -4.78 eV/atom
# Relative energy among the computed polymorphs ... 0 meV/atom
# Total magnetization ... 0.00 μB per formula unit